[1]
A plane-wave DFT calculation with PBE was carried out for a geometry-optimized Li4ThSn2 structure.

Calculated values
As for the space-group type: P4_2/mnm, No. 136. The energy of formation comes out at -425 meV per atom. The calculation puts the total energy at -3.72 eV per atom. The theoretical density comes out at 5.45 g/cm³.

a = 4.6522 Å, b = 8.0689 Å, c = 8.0689 Å
α = 90.00°, β = 90.00°, γ = 90.00°
Closest atoms and distances in Å follow each position.
Sites, in units of the cell vectors:
Sn1 0.5000 0.7089 0.7089  6 Li 2.77-2.81
Sn2 0.0000 0.2089 0.7911  6 Li 2.77-2.81
Sn3 0.0000 0.7911 0.2089  6 Li 2.77-2.81
Sn4 0.5000 0.2911 0.2911  6 Li 2.77-2.81
Th1 0.5000 0.0000 0.0000  6 Sn 3.32-3.33, 4 Li 3.42
Th2 0.0000 0.5000 0.5000  6 Sn 3.32-3.33, 4 Li 3.42
Li1 0.5000 0.1505 0.6041  3 Sn 2.77-2.81, 2 Li 2.80-2.95
Li2 0.0000 0.8959 0.6505  3 Sn 2.77-2.81, 2 Li 2.80-2.95
Li3 0.5000 0.3959 0.8495  3 Sn 2.77-2.81, 2 Li 2.80-2.95
Li4 0.5000 0.6041 0.1505  3 Sn 2.77-2.81, 2 Li 2.80-2.95
Li5 0.0000 0.1041 0.3495  3 Sn 2.77-2.81, 2 Li 2.80-2.95
Li6 0.0000 0.6505 0.8959  3 Sn 2.77-2.81, 2 Li 2.80-2.95
Li7 0.5000 0.8495 0.3959  3 Sn 2.77-2.81, 2 Li 2.80-2.95
Li8 0.0000 0.3495 0.1041  3 Sn 2.77-2.81, 2 Li 2.80-2.95

***

[2]
A plane-wave DFT calculation with PBE was carried out for a geometry-optimized Zr2CuPb structure.

Calculated values
As for the space-group type: C2/m, No. 12. The energy of formation comes out at -56 meV per atom. The calculation puts the total energy at -6.28 eV per atom. The theoretical density comes out at 9.06 g/cm³.

a = 6.9118 Å, b = 5.2100 Å, c = 3.2127 Å
α = 89.80°, β = 62.65°, γ = 121.44°
Closest atoms and distances in Å follow each position.
Sites, in units of the cell vectors:
Zr1 0.5000 0.0000 0.5000  4 Pb 3.06-3.07, 4 Cu 3.06-3.07, 4 Zr 3.07-3.21
Zr2 0.0000 0.0000 0.0000  4 Cu 3.06-3.07, 4 Pb 3.06-3.07, 4 Zr 3.07-3.21
Pb1 0.5000 0.5000 0.0000  8 Zr 3.06-3.07, 2 Cu 3.07, 2 Pb 3.21
Cu1 0.0000 0.5000 0.5000  8 Zr 3.06-3.07, 2 Pb 3.07, 2 Cu 3.21

***

- The lowest theoretical density belongs to which entry?
  Li4ThSn2

***

- Which formula does entry 2 have?
  Zr2CuPb

***

Please write out number 2 again, unchanged.
A plane-wave DFT calculation with PBE was carried out for a geometry-optimized Zr2CuPb structure.

Calculated values
As for the space-group type: C2/m, No. 12. The energy of formation comes out at -56 meV per atom. The calculation puts the total energy at -6.28 eV per atom. The theoretical density comes out at 9.06 g/cm³.

a = 6.9118 Å, b = 5.2100 Å, c = 3.2127 Å
α = 89.80°, β = 62.65°, γ = 121.44°
Closest atoms and distances in Å follow each position.
Sites, in units of the cell vectors:
Zr1 0.5000 0.0000 0.5000  4 Pb 3.06-3.07, 4 Cu 3.06-3.07, 4 Zr 3.07-3.21
Zr2 0.0000 0.0000 0.0000  4 Cu 3.06-3.07, 4 Pb 3.06-3.07, 4 Zr 3.07-3.21
Pb1 0.5000 0.5000 0.0000  8 Zr 3.06-3.07, 2 Cu 3.07, 2 Pb 3.21
Cu1 0.0000 0.5000 0.5000  8 Zr 3.06-3.07, 2 Pb 3.07, 2 Cu 3.21